Computed, not measured: crystalline CuI2O at its relaxed geometry at the PBE-GGA level of DFT.

abc: 5.503 5.503 7.696
angles: 69.05 69.05 90.00
Element x y z (fractional)
I (0.588, 0.125, 0.250)
I (0.162, 0.625, 0.250)
I (0.375, 0.412, 0.750)
I (0.875, 0.838, 0.750)
O (0.500, 0.500, 0.000)
O (0.250, 0.750, 0.500)
Cu (0.000, 0.000, 0.000)
Cu (0.750, 0.250, 0.500)

formation energy without anion corrections	1.473	eV/f.u.
E above lowest polymorph	0	meV per atom